Crystalline TiZn5Ag at its relaxed geometry. Source: Alexandria, functional PBE-GGA.

Unit cell a=3.843 b=3.843 c=8.040 alpha=90.00 beta=90.00 gamma=90.00
Element x y z (fractional)
Ti: 0.000 0.000 0.000
Zn: 0.000 0.500 0.254
Zn: 0.000 0.500 0.746
Zn: 0.500 0.000 0.254
Zn: 0.500 0.000 0.746
Zn: 0.500 0.500 0.000
Ag: 0.500 0.500 0.500

Properties
The formation energy comes out at 17 meV per atom.


Crystalline TmGa3Pt at its relaxed geometry. Source: Alexandria, functional PBE-GGA.

Unit cell a=6.694 b=4.234 c=6.768 alpha=90.00 beta=104.70 gamma=90.00
Element x y z (fractional)
Tm: 0.175 0.250 0.208
Tm: 0.825 0.750 0.792
Ga: 0.098 0.250 0.708
Ga: 0.332 0.750 0.941
Ga: 0.486 0.250 0.665
Ga: 0.514 0.750 0.335
Ga: 0.668 0.250 0.059
Ga: 0.902 0.750 0.292
Pt: 0.258 0.750 0.554
Pt: 0.742 0.250 0.446

Properties
The calculation puts the energy above the most stable polymorph in this dataset at 25 meV/atom. The formation energy comes out at -685 meV per atom.